6
Lattice="5.7889 0.0000 0.0000 0.0000 4.7258 0.0000 -2.6733 0.0000 7.4665" Properties=species:S:1:pos:R:3 comment="NdSeI, relaxed, DFT PBE" total_magnetization_mub_per_cell=0.00 e_tot_ev_per_cell=-29.6 e_form_raw_ev_per_atom=-1.664 pbc="T T T"
Nd 0.0985 1.1814 2.3959
Nd 3.0171 3.5443 5.0706
Se 0.0820 3.5443 4.1615
Se 3.0336 1.1814 3.3050
I 1.4422 3.5443 0.5011
I 1.6733 1.1814 6.9654

14
Lattice="4.5645 2.6353 5.9334 -4.5645 2.6353 5.9334 0.0000 -5.2706 5.9334" Properties=species:S:1:pos:R:3 comment="Nd3Se3I, relaxed, DFT PBE" total_magnetization_mub_per_cell=0.00 e_tot_ev_per_cell=-75.4 e_form_raw_ev_per_atom=-1.625 pbc="T T T"
Nd -2.9209 -0.1615 7.3774
Nd -1.3206 -2.6103 10.4227
Nd 1.6003 -2.4488 7.3774
Nd -1.6003 2.4488 10.4227
Nd 1.3206 2.6103 7.3774
Nd 2.9209 0.1615 10.4227
Se -1.3364 -2.9114 7.4979
Se -3.1896 -0.2984 10.3022
Se -1.8532 2.6131 7.4979
Se 1.8532 -2.6131 10.3022
Se 3.1896 0.2984 7.4978
Se 1.3364 2.9114 10.3022
I 0.0000 0.0000 5.8490
I 0.0000 0.0000 11.9510

What did the second record say?
14
Lattice="4.5645 2.6353 5.9334 -4.5645 2.6353 5.9334 0.0000 -5.2706 5.9334" Properties=species:S:1:pos:R:3 comment="Nd3Se3I, relaxed, DFT PBE" total_magnetization_mub_per_cell=0.00 e_tot_ev_per_cell=-75.4 e_form_raw_ev_per_atom=-1.625 pbc="T T T"
Nd -2.9209 -0.1615 7.3774
Nd -1.3206 -2.6103 10.4227
Nd 1.6003 -2.4488 7.3774
Nd -1.6003 2.4488 10.4227
Nd 1.3206 2.6103 7.3774
Nd 2.9209 0.1615 10.4227
Se -1.3364 -2.9114 7.4979
Se -3.1896 -0.2984 10.3022
Se -1.8532 2.6131 7.4979
Se 1.8532 -2.6131 10.3022
Se 3.1896 0.2984 7.4978
Se 1.3364 2.9114 10.3022
I 0.0000 0.0000 5.8490
I 0.0000 0.0000 11.9510